Crystalline VMoF2 at its relaxed geometry, computed with PBE with a Hubbard U.

Distance to the lowest polymorph of the same formula: 1317.4 meV per atom
Space group: No. 225

Unit cell a=6.0059 b=6.0059 c=6.0059 alpha=90.00 beta=90.00 gamma=90.00
With the nearest neighbours (Å) after each atom.
Sites, in units of the cell vectors:
V1 0.0000 0.0000 0.0000  8 F 2.60
V2 0.0000 0.5000 0.5000  8 F 2.60
V3 0.5000 0.0000 0.5000  8 F 2.60
V4 0.5000 0.5000 0.0000  8 F 2.60
Mo1 0.0000 0.0000 0.5000  8 F 2.60
Mo2 0.0000 0.5000 0.0000  8 F 2.60
Mo3 0.5000 0.0000 0.0000  8 F 2.60
Mo4 0.5000 0.5000 0.5000  8 F 2.60
F1 0.2500 0.2500 0.2500  4 Mo 2.60, 4 V 2.60
F2 0.2500 0.2500 0.7500  4 Mo 2.60, 4 V 2.60
F3 0.2500 0.7500 0.2500  4 Mo 2.60, 4 V 2.60
F4 0.2500 0.7500 0.7500  4 Mo 2.60, 4 V 2.60
F5 0.7500 0.2500 0.2500  4 Mo 2.60, 4 V 2.60
F6 0.7500 0.2500 0.7500  4 Mo 2.60, 4 V 2.60
F7 0.7500 0.7500 0.2500  4 Mo 2.60, 4 V 2.60
F8 0.7500 0.7500 0.7500  4 V 2.60, 4 Mo 2.60